(1)
Entry from the Alexandria database: a relaxed MgFe4Br crystal (PBE-GGA).

Output
Crystal system: cubic

abc: 7.182 7.182 7.182
angles: 90.00 90.00 90.00
Space group F-43m (No. 216)
Unique sites:
Mg (0.000, 0.000, 0.000) x4
Fe (0.127, 0.127, 0.373) x16
Br (0.250, 0.250, 0.750) x4


(2)
Entry from the Alexandria database: a relaxed MgFe3Br9 crystal (PBE-GGA).

Output
Crystal system: monoclinic

abc: 18.311 9.310 13.229
angles: 90.00 128.52 90.00
Space group Cc (No. 9)
Unique sites:
Mg (0.000, 0.225, 0.000) x4
Fe (0.135, 0.431, 0.828) x4
Fe (0.266, 0.063, 0.782) x4
Fe (0.364, 0.387, 0.676) x4
Br (0.010, 0.318, 0.811) x4
Br (0.099, 0.458, 0.137) x4
Br (0.137, 0.024, 0.074) x4
Br (0.201, 0.370, 0.482) x4
Br (0.254, 0.248, 0.905) x4
Br (0.346, 0.123, 0.439) x4
Br (0.362, 0.444, 0.309) x4
Br (0.389, 0.153, 0.777) x4
Br (0.490, 0.417, 0.669) x4


no.,uncorrected energy (eV per atom)
1,-5.7327
2,-3.8579